First-principles (PBE+U) data for crystalline NbZnW2F at its relaxed geometry, as listed in Alexandria via LeMat-Bulk.

Cell and atoms, written as POSCAR:
```
NbZnW2F
1.0
4.915 0.000 0.000
0.000 4.931 0.000
0.000 0.000 4.915
W Nb Zn F
2 1 1 1
direct
0.000 0.000 0.500 W
0.500 0.000 0.000 W
0.000 0.500 0.000 Nb
0.000 0.000 0.000 Zn
0.500 0.500 0.500 F
```

space-group type	P4/mmm
DOS(E_F)	0.911	states/eV per atom
E	-18.92	eV per cell